Entry 1:
A relaxed Ho2Ga4PtRh3 crystal, computed with GGA-PBE.

Symmetry ... P-4m2 (115)

abc: 4.1916 4.1916 10.3175
angles: 90.00 90.00 90.00
With the nearest neighbours (Å) after each atom.
Element x y z (fractional)
Ho 0.0000 0.5000 0.2429  8 Ga 3.17-3.38, 6 Rh 3.23-3.27, 2 Pt 3.27
Ho 0.5000 0.0000 0.7571  8 Ga 3.17-3.38, 6 Rh 3.23-3.27, 2 Pt 3.27
Ga 0.0000 0.0000 0.5000  4 Rh 2.50
Ga 0.0000 0.5000 0.8672  3 Rh 2.42-2.50, 2 Pt 2.50
Ga 0.5000 0.0000 0.1328  3 Rh 2.42-2.50, 2 Pt 2.50
Ga 0.5000 0.5000 0.5000  4 Rh 2.50
Pt 0.5000 0.5000 0.0000  4 Ga 2.50
Rh 0.0000 0.0000 0.0000  4 Ga 2.50
Rh 0.0000 0.5000 0.6326  5 Ga 2.42-2.50
Rh 0.5000 0.0000 0.3674  5 Ga 2.42-2.50

Entry 2:
A relaxed Ho2Ga4Pt3Rh crystal, computed with GGA-PBE.

Symmetry ... P-4m2 (115)

abc: 4.1219 4.1219 10.8605
angles: 90.00 90.00 90.00
With the nearest neighbours (Å) after each atom.
Element x y z (fractional)
Ho 0.0000 0.5000 0.2443  8 Ga 3.17-3.46, 6 Pt 3.17-3.36, 2 Rh 3.36
Ho 0.5000 0.0000 0.7557  8 Ga 3.17-3.46, 6 Pt 3.17-3.36, 2 Rh 3.36
Ga 0.0000 0.0000 0.5000  4 Pt 2.57
Ga 0.0000 0.5000 0.8693  3 Pt 2.47-2.50, 2 Rh 2.50
Ga 0.5000 0.0000 0.1307  3 Pt 2.47-2.50, 2 Rh 2.50
Ga 0.5000 0.5000 0.5000  4 Pt 2.57
Pt 0.0000 0.0000 0.0000  4 Ga 2.50
Pt 0.0000 0.5000 0.6415  5 Ga 2.47-2.57
Pt 0.5000 0.0000 0.3585  5 Ga 2.47-2.57
Rh 0.5000 0.5000 0.0000  4 Ga 2.50

Entry 3:
A relaxed HoGa3PtRh crystal, computed with GGA-PBE.

Symmetry ... Cmcm (63)

abc: 6.9972 6.9972 5.5971
angles: 90.00 90.00 126.62
With the nearest neighbours (Å) after each atom.
Element x y z (fractional)
Ho 0.2252 0.7748 0.7500  1 Rh 2.64, 2 Pt 2.93
Ho 0.7748 0.2252 0.2500  1 Rh 2.64, 2 Pt 2.93
Ga 0.1970 0.1970 0.0000  1 Ga 2.48, 2 Rh 2.49, 2 Pt 2.71
Ga 0.1970 0.1970 0.5000  1 Ga 2.48, 2 Rh 2.49, 2 Pt 2.71
Ga 0.3566 0.6434 0.2500  1 Pt 2.50, 1 Rh 2.59
Ga 0.6434 0.3566 0.7500  1 Pt 2.50, 1 Rh 2.59
Ga 0.8030 0.8030 0.0000  1 Ga 2.48, 2 Rh 2.49, 2 Pt 2.71
Ga 0.8030 0.8030 0.5000  1 Ga 2.48, 2 Rh 2.49, 2 Pt 2.71
Pt 0.1569 0.8431 0.2500  5 Ga 2.50-2.71
Pt 0.8431 0.1569 0.7500  5 Ga 2.50-2.71
Rh 0.4360 0.5640 0.7500  5 Ga 2.49-2.59, 1 Ho 2.64
Rh 0.5640 0.4360 0.2500  5 Ga 2.49-2.59, 1 Ho 2.64

Entry 4:
A relaxed HoGa4Pt2Rh crystal, computed with GGA-PBE.

Symmetry ... R-3m (166)

abc: 8.9246 8.9246 8.9246
angles: 27.75 27.75 27.75
With the nearest neighbours (Å) after each atom.
Element x y z (fractional)
Ho 0.0000 0.0000 0.0000  6 Ga 2.96
Ga 0.1323 0.1323 0.1323  3 Rh 2.62, 4 Pt 2.66-2.76
Ga 0.3967 0.3967 0.3967  3 Pt 2.59, 1 Rh 2.66
Ga 0.6033 0.6033 0.6033  3 Pt 2.59, 1 Rh 2.66
Ga 0.8677 0.8677 0.8677  3 Rh 2.62, 4 Pt 2.66-2.76
Pt 0.2396 0.2396 0.2396  7 Ga 2.59-2.76
Pt 0.7604 0.7604 0.7604  7 Ga 2.59-2.76
Rh 0.5000 0.5000 0.5000  8 Ga 2.62-2.66

Record order is preserved below.
N(E_F): 0.488, 0.511, 0.395, 0.564 states/eV/atom
Record order is preserved below.
Formation energy from the elements: -0.83, -0.93, -0.61, -0.71 eV per atom
Record order is preserved below.
Total moment: 0.00, 0.00, 0.00, 0.00 μB/f.u.